{"formula": "Li4SnAu3", "functional": "PBE", "state": "relaxed", "lattice_angstrom": [[-3.8011, -1.5452, 1.1072], [1.0756, 0.4270, 4.2883], [-0.2247, 7.5509, 1.6102]], "species": ["Li", "Li", "Li", "Li", "Au", "Au", "Au", "Sn"], "fractional_positions": [[0.3667, 0.6327, 0.7333], [0.6333, 0.3673, 0.2667], [0.7518, 0.7486, 0.5036], [0.2482, 0.2514, 0.4964], [0.8576, 0.1426, 0.7152], [0.1424, 0.8574, 0.2848], [0.0000, 0.5000, 0.0000], [0.5000, 0.0000, 0.0000]], "final_energy_ev_per_fu": -25.0, "m_tot_mub_per_atom": 0.000, "de_polymorph_mev_per_atom": 61, "ef_ev_per_atom": -0.436}

=====

{"formula": "NaOs3S", "functional": "PBE", "state": "relaxed", "lattice_angstrom": [[4.4915, 0.0000, 0.0000], [0.0000, 4.4915, 0.0000], [0.0000, 0.0000, 4.4915]], "species": ["Os", "Os", "Os", "S", "Na"], "fractional_positions": [[0.5000, 0.0000, 0.0000], [0.0000, 0.0000, 0.5000], [0.0000, 0.5000, 0.0000], [0.5000, 0.5000, 0.5000], [0.0000, 0.0000, 0.0000]], "final_energy_ev_per_fu": -21.8, "formation_energy_uncorrected_ev_per_atom": 3.47, "m_tot_mub_per_atom": 0.194, "de_polymorph_mev_per_atom": 2350}

=====

{"formula": "Dy7Pd2Pt2", "functional": "PBE", "state": "relaxed", "lattice_angstrom": [[6.6806, -0.0027, -0.6005], [0.0030, 7.0024, 0.0032], [-1.0156, -0.0024, 6.6302]], "species": ["Dy", "Dy", "Dy", "Dy", "Dy", "Dy", "Dy", "Pd", "Pd", "Pt", "Pt"], "fractional_positions": [[0.0000, 0.0000, 0.0000], [0.4997, 0.2601, 0.0002], [0.0002, 0.7399, 0.4997], [0.4998, 0.2571, 0.5002], [0.5002, 0.7429, 0.4998], [0.5003, 0.7399, 0.9998], [0.9998, 0.2601, 0.5003], [0.7814, 0.5000, 0.7814], [0.2186, 0.5000, 0.2186], [0.2807, 0.0000, 0.7193], [0.7193, 0.0000, 0.2807]], "final_energy_ev_per_fu": -61.5, "m_tot_mub_per_atom": 0.000, "de_polymorph_mev_per_atom": 191, "ef_ev_per_atom": -0.621}

=====

{"formula": "PaTlHg2Cl6", "functional": "PBE", "state": "relaxed", "lattice_angstrom": [[-0.4073, -8.2353, -0.6427], [4.4670, -4.7694, 5.0694], [-3.7554, -4.4268, 5.8907]], "species": ["Tl", "Pa", "Cl", "Cl", "Cl", "Cl", "Cl", "Cl", "Hg", "Hg"], "fractional_positions": [[0.5000, 0.5000, 0.5000], [0.0000, 0.0000, 0.0000], [0.2189, 0.7811, 0.2189], [0.7811, 0.2189, 0.2189], [0.7811, 0.2189, 0.7811], [0.2189, 0.2189, 0.7811], [0.7811, 0.7811, 0.2189], [0.2189, 0.7811, 0.7811], [0.7500, 0.7500, 0.7500], [0.2500, 0.2500, 0.2500]], "final_energy_ev_per_fu": -36.7, "formation_energy_uncorrected_ev_per_atom": -1.31, "m_tot_mub_per_atom": 0.000}

=====

{"formula": "Mn3HOs", "functional": "PBE", "state": "relaxed", "lattice_angstrom": [[-15.9838, 2.5201, -2.7396], [-5.9527, 1.6846, -4.0212], [5.9084, -3.6862, 2.4383]], "species": ["Os", "Os", "Mn", "Mn", "Mn", "Mn", "Mn", "Mn", "H", "H"], "fractional_positions": [[0.1636, 0.9564, 0.0436], [0.8364, 0.0436, 0.9564], [0.5068, 0.6744, 0.3256], [0.4932, 0.3256, 0.6744], [0.7987, 0.2498, 0.7502], [0.8415, 0.8619, 0.1381], [0.1585, 0.1381, 0.8619], [0.2013, 0.7502, 0.2498], [0.4036, 0.0049, 0.9951], [0.5964, 0.9951, 0.0049]], "final_energy_ev_per_fu": -40.0, "m_tot_mub_per_atom": 0.221, "de_polymorph_mev_per_atom": 465}

=====

{"formula": "Ca2TiAsF", "functional": "PBE", "state": "relaxed", "lattice_angstrom": [[-1.1723, 2.8651, 4.9543], [-2.6000, -2.7233, 0.9597], [4.1801, -3.0257, 2.7388]], "species": ["Ti", "Ca", "Ca", "F", "As"], "fractional_positions": [[0.0000, 0.0000, 0.0000], [0.0000, 0.0000, 0.5000], [0.5000, 0.0000, 0.0000], [0.0000, 0.5000, 0.0000], [0.5000, 0.5000, 0.5000]], "final_energy_ev_per_fu": -21.3, "formation_energy_uncorrected_ev_per_atom": -0.58, "m_tot_mub_per_atom": 0.446}